<one>
A relaxed structure of Tm2AgSe3. Source: OQMD, functional PBE.

Cell lengths 10.6356, 17.3471, 4.0422 Å; angles 90.00, 90.00, 90.00 degrees
Site moments in Bohr magnetons follow the coordinates.
Fractional coordinates of all 24 atoms:
Se 0.1262 0.9183 0.0000  0.01
Se 0.8738 0.0817 0.0000  0.01
Se 0.1214 0.2351 0.0000  0.01
Se 0.3786 0.7351 0.0000  0.01
Se 0.3738 0.4183 0.0000  0.01
Se 0.3948 0.1005 0.0000  0.00
Se 0.6052 0.8995 0.0000  0.00
Se 0.8786 0.7649 0.0000  0.01
Se 0.8948 0.3995 0.0000  0.00
Se 0.6262 0.5817 0.0000  0.01
Se 0.1052 0.6005 0.0000  0.00
Se 0.6214 0.2649 0.0000  0.01
Tm 0.3578 0.5780 0.0000  0.16
Tm 0.1306 0.7579 0.0000  0.21
Tm 0.1422 0.0780 0.0000  0.16
Tm 0.8694 0.2421 0.0000  0.21
Tm 0.6422 0.4220 0.0000  0.16
Tm 0.6306 0.7421 0.0000  0.21
Tm 0.8578 0.9220 0.0000  0.16
Tm 0.3694 0.2579 0.0000  0.21
Ag 0.3693 0.9449 0.0000  0.00
Ag 0.6307 0.0551 0.0000  0.00
Ag 0.8693 0.5551 0.0000  0.00
Ag 0.1307 0.4449 0.0000  0.00

SG = Pbam (55)
Magnetic moment = 0.6 μB per formula unit

---

<two>
A relaxed structure of Tm2AgSe3. Source: OQMD, functional PBE.

Cell lengths 10.3408, 3.9050, 13.5575 Å; angles 90.00, 90.00, 90.00 degrees
Fractional coordinates of all 24 atoms:
Se 0.4617 0.2500 0.8973
Se 0.0846 0.2500 0.9000
Se 0.5846 0.2500 0.6000
Se 0.0383 0.7500 0.3973
Se 0.5383 0.7500 0.1027
Se 0.9617 0.2500 0.6027
Se 0.4154 0.7500 0.4000
Se 0.2359 0.2500 0.1326
Se 0.7359 0.2500 0.3674
Se 0.2641 0.7500 0.6326
Se 0.9154 0.7500 0.1000
Se 0.7641 0.7500 0.8674
Tm 0.0183 0.7500 0.7538
Tm 0.7236 0.2500 0.0266
Tm 0.2764 0.7500 0.9734
Tm 0.7764 0.7500 0.5266
Tm 0.4817 0.2500 0.2538
Tm 0.5183 0.7500 0.7462
Tm 0.2236 0.2500 0.4734
Tm 0.9817 0.2500 0.2462
Ag 0.2325 0.7500 0.2678
Ag 0.7325 0.7500 0.2322
Ag 0.2675 0.2500 0.7678
Ag 0.7675 0.2500 0.7322

SG = Pnma (62)
Magnetic moment = 0.0 μB per formula unit

---

Of them, <one> has the lowest stability.

---

<one>
A relaxed structure of SiAg. Source: OQMD, functional PBE.

Cell lengths 3.2551, 3.2551, 3.2551 Å; angles 90.00, 90.00, 90.00 degrees
Fractional coordinates of all 2 atoms:
Si 0.5000 0.5000 0.5000
Ag 0.0000 0.0000 0.0000

SG = Pm-3m (221)

---

<two>
A relaxed structure of SiAg. Source: OQMD, functional PBE.

Cell lengths 2.8646, 2.8645, 4.6743 Å; angles 90.00, 90.00, 120.00 degrees
Fractional coordinates of all 2 atoms:
Ag 0.6667 0.3333 0.7500
Si 0.3333 0.6667 0.2500

SG = P-6m2 (187)

---

Of them, <one> has the lowest stability.

---

<one>
A relaxed structure of Zr2SiAg2. Source: OQMD, functional PBE.

Cell lengths 7.6883, 7.6883, 7.6883 Å; angles 152.03, 152.03, 39.97 degrees
Site moments in Bohr magnetons follow the coordinates.
Fractional coordinates of all 5 atoms:
Si 0.0000 0.0000 0.0000  -0.03
Ag 0.7500 0.2500 0.5000  0.04
Ag 0.2500 0.7500 0.5000  0.04
Zr 0.5926 0.5926 0.0000  0.57
Zr 0.4074 0.4074 0.0000  0.57

SG = I4/mmm (139)
Magnetic moment = 1.6 μB per formula unit

---

<two>
A relaxed structure of Zr2SiAg2. Source: OQMD, functional PBE.

Cell lengths 6.6996, 6.6996, 6.6996 Å; angles 142.27, 142.27, 54.42 degrees
Fractional coordinates of all 5 atoms:
Zr 0.7500 0.2500 0.5000
Zr 0.2500 0.7500 0.5000
Si 0.0000 0.0000 0.0000
Ag 0.6033 0.6033 0.0000
Ag 0.3967 0.3967 0.0000

SG = I4/mmm (139)
Magnetic moment = 0.0 μB per formula unit

---

Of them, <two> has the lowest stability.

---

<one>
A relaxed structure of SmAgSnTe3. Source: OQMD, functional PBE.

Cell lengths 12.5116, 4.5333, 12.6949 Å; angles 90.00, 90.00, 90.00 degrees
Fractional coordinates of all 24 atoms:
Ag 0.2372 0.7500 0.7954
Ag 0.7372 0.7500 0.7046
Ag 0.7628 0.2500 0.2046
Ag 0.2628 0.2500 0.2954
Te 0.4047 0.7500 0.9396
Te 0.9706 0.2500 0.1291
Te 0.5953 0.2500 0.0604
Te 0.4706 0.2500 0.3709
Te 0.9047 0.7500 0.5604
Te 0.2168 0.7500 0.1716
Te 0.0953 0.2500 0.4396
Te 0.0294 0.7500 0.8709
Te 0.7832 0.2500 0.8284
Te 0.2832 0.2500 0.6716
Te 0.5294 0.7500 0.6291
Te 0.7168 0.7500 0.3284
Sm 0.5231 0.2500 0.8111
Sm 0.4769 0.7500 0.1889
Sm 0.9769 0.7500 0.3111
Sm 0.0231 0.2500 0.6889
Sn 0.8167 0.7500 0.0110
Sn 0.1833 0.2500 0.9890
Sn 0.3167 0.7500 0.4890
Sn 0.6833 0.2500 0.5110

SG = Pnma (62)
Magnetic moment = 0.0 μB per formula unit

---

<two>
A relaxed structure of SmAgSnTe3. Source: OQMD, functional PBE.

Cell lengths 9.1971, 4.5527, 18.1870 Å; angles 90.00, 90.00, 90.00 degrees
Fractional coordinates of all 24 atoms:
Te 0.6890 0.7500 0.7861
Te 0.0355 0.7500 0.0852
Te 0.3846 0.7500 0.9363
Te 0.8110 0.2500 0.2861
Te 0.8846 0.7500 0.5637
Te 0.6154 0.2500 0.0637
Te 0.5355 0.7500 0.4148
Te 0.9645 0.2500 0.9148
Te 0.1890 0.7500 0.7139
Te 0.4645 0.2500 0.5852
Te 0.3110 0.2500 0.2139
Te 0.1154 0.2500 0.4363
Sn 0.0959 0.7500 0.2490
Sn 0.5959 0.7500 0.2510
Sn 0.9041 0.2500 0.7510
Sn 0.4041 0.2500 0.7490
Sm 0.7743 0.2500 0.4618
Sm 0.2257 0.7500 0.5382
Sm 0.2743 0.2500 0.0382
Sm 0.7257 0.7500 0.9618
Ag 0.1177 0.7500 0.8645
Ag 0.8823 0.2500 0.1355
Ag 0.3823 0.2500 0.3645
Ag 0.6177 0.7500 0.6355

SG = Pnma (62)
Magnetic moment = 0.0 μB per formula unit

---

<three>
A relaxed structure of SmAgSnTe3. Source: OQMD, functional PBE.

Cell lengths 11.3453, 4.3803, 14.7441 Å; angles 90.00, 90.00, 90.00 degrees
Fractional coordinates of all 24 atoms:
Sn 0.2126 0.2500 0.5119
Sn 0.2874 0.7500 0.0119
Sn 0.7126 0.2500 0.9881
Sn 0.7874 0.7500 0.4881
Te 0.7658 0.7500 0.1511
Te 0.0397 0.7500 0.6062
Te 0.4603 0.2500 0.1062
Te 0.2342 0.2500 0.8489
Te 0.7342 0.2500 0.6511
Te 0.2658 0.7500 0.3489
Te 0.9166 0.7500 0.9028
Te 0.4166 0.7500 0.5972
Te 0.5397 0.7500 0.8938
Te 0.9603 0.2500 0.3938
Te 0.0834 0.2500 0.0972
Te 0.5834 0.2500 0.4028
Sm 0.0216 0.7500 0.2410
Sm 0.5216 0.7500 0.2590
Sm 0.9784 0.2500 0.7590
Sm 0.4784 0.2500 0.7410
Ag 0.7625 0.2500 0.2739
Ag 0.2375 0.7500 0.7261
Ag 0.7375 0.7500 0.7739
Ag 0.2625 0.2500 0.2261

SG = Pnma (62)
Magnetic moment = 0.0 μB per formula unit

---

<four>
A relaxed structure of SmAgSnTe3. Source: OQMD, functional PBE.

Cell lengths 7.7108, 7.7108, 11.3068 Å; angles 90.00, 90.00, 32.66 degrees
Fractional coordinates of all 12 atoms:
Te 0.3508 0.3508 0.4395
Te 0.6492 0.6492 0.9395
Te 0.6492 0.6492 0.5605
Te 0.9021 0.9021 0.7500
Te 0.3508 0.3508 0.0605
Te 0.0979 0.0979 0.2500
Sm 0.0000 0.0000 0.5000
Sm 0.0000 0.0000 0.0000
Sn 0.7698 0.7698 0.2500
Sn 0.2302 0.2302 0.7500
Ag 0.5266 0.5266 0.7500
Ag 0.4734 0.4734 0.2500

SG = Cmcm (63)
Magnetic moment = 0.0 μB per formula unit

---

Of them, <one> has the lowest stability.

---

<one>
A relaxed structure of SmAgSnTe3. Source: OQMD, functional PBE.

Cell lengths 10.1046, 10.1046, 8.9890 Å; angles 102.05, 102.05, 24.76 degrees
Fractional coordinates of all 12 atoms:
Sm 0.8371 0.8371 0.9108
Sm 0.1629 0.1629 0.0892
Te 0.3273 0.3273 0.1571
Te 0.3142 0.3142 0.6529
Te 0.6727 0.6727 0.8429
Te 0.6858 0.6858 0.3471
Te 0.0000 0.0000 0.0000
Te 0.5000 0.5000 0.5000
Ag 0.4573 0.4573 0.7858
Ag 0.5427 0.5427 0.2142
Sn 0.1263 0.1263 0.5700
Sn 0.8737 0.8737 0.4300

SG = C2/m (12)
Magnetic moment = 0.0 μB per formula unit

---

<two>
A relaxed structure of SmAgSnTe3. Source: OQMD, functional PBE.

Cell lengths 8.3560, 4.3644, 10.6823 Å; angles 90.00, 105.89, 90.00 degrees
Fractional coordinates of all 12 atoms:
Te 0.4597 0.7500 0.6619
Te 0.9167 0.7500 0.6379
Te 0.0833 0.2500 0.3621
Te 0.2120 0.2500 0.9683
Te 0.7880 0.7500 0.0317
Te 0.5403 0.2500 0.3381
Ag 0.5869 0.2500 0.0874
Ag 0.4131 0.7500 0.9126
Sm 0.1963 0.2500 0.6706
Sm 0.8037 0.7500 0.3294
Sn 0.2423 0.7500 0.2017
Sn 0.7578 0.2500 0.7983

SG = P2_1/m (11)
Magnetic moment = 0.0 μB per formula unit

---

Of them, <one> has the lowest stability.

---

<one>
A relaxed structure of SmAgTe. Source: OQMD, functional PBE.

Cell lengths 5.1102, 5.1102, 5.1102 Å; angles 60.00, 60.00, 60.00 degrees
Fractional coordinates of all 3 atoms:
Sm 0.0000 0.0000 0.0000
Ag 0.2500 0.2500 0.2500
Te 0.7500 0.7500 0.7500

SG = F-43m (216)
Magnetic moment = 0.0 μB per formula unit

---

<two>
A relaxed structure of SmAgTe. Source: OQMD, functional PBE.

Cell lengths 4.9366, 4.9366, 4.9366 Å; angles 60.00, 60.00, 60.00 degrees
Fractional coordinates of all 3 atoms:
Sm 0.2500 0.2500 0.2500
Te 0.7500 0.7500 0.7500
Ag 0.0000 0.0000 0.0000

SG = F-43m (216)
Magnetic moment = 0.0 μB per formula unit

---

Of them, <two> has the lowest stability.

---

<one>
A relaxed structure of SmZrAg. Source: OQMD, functional PBE.

Cell lengths 4.8250, 4.8250, 4.8250 Å; angles 60.00, 60.00, 60.00 degrees
Fractional coordinates of all 3 atoms:
Sm 0.0000 0.0000 0.0000
Ag 0.2500 0.2500 0.2500
Zr 0.7500 0.7500 0.7500

SG = F-43m (216)
Magnetic moment = 0.0 μB per formula unit

---

<two>
A relaxed structure of SmZrAg. Source: OQMD, functional PBE.

Cell lengths 4.7939, 4.7939, 4.7939 Å; angles 60.00, 60.00, 60.00 degrees
Fractional coordinates of all 3 atoms:
Zr 0.0000 0.0000 0.0000
Sm 0.7500 0.7500 0.7500
Ag 0.2500 0.2500 0.2500

SG = F-43m (216)
Magnetic moment = 0.0 μB per formula unit

---

Of them, <one> has the lowest stability.

---

<one>
A relaxed structure of TbAgSnTe3. Source: OQMD, functional PBE.

Cell lengths 9.1171, 4.5285, 18.0781 Å; angles 90.00, 90.00, 90.00 degrees
Fractional coordinates of all 24 atoms:
Te 0.1141 0.7500 0.5619
Te 0.6141 0.7500 0.9381
Te 0.8859 0.2500 0.4381
Te 0.0348 0.2500 0.9155
Te 0.6921 0.2500 0.2115
Te 0.5348 0.2500 0.5845
Te 0.9652 0.7500 0.0845
Te 0.3859 0.2500 0.0619
Te 0.4652 0.7500 0.4155
Te 0.1921 0.2500 0.2885
Te 0.8079 0.7500 0.7115
Te 0.3079 0.7500 0.7885
Ag 0.6204 0.2500 0.3628
Ag 0.1204 0.2500 0.1372
Ag 0.3796 0.7500 0.6372
Ag 0.8796 0.7500 0.8628
Sn 0.4079 0.7500 0.2493
Sn 0.5921 0.2500 0.7507
Sn 0.9079 0.7500 0.2507
Sn 0.0921 0.2500 0.7493
Tb 0.7706 0.7500 0.5364
Tb 0.2294 0.2500 0.4636
Tb 0.7294 0.2500 0.0364
Tb 0.2706 0.7500 0.9636

SG = Pnma (62)
Magnetic moment = 0.0 μB per formula unit

---

<two>
A relaxed structure of TbAgSnTe3. Source: OQMD, functional PBE.

Cell lengths 10.0164, 10.0164, 8.9540 Å; angles 101.89, 101.89, 24.81 degrees
Fractional coordinates of all 12 atoms:
Te 0.5000 0.5000 0.5000
Te 0.6741 0.6741 0.8467
Te 0.6866 0.6866 0.3431
Te 0.0000 0.0000 0.0000
Te 0.3259 0.3259 0.1533
Te 0.3134 0.3134 0.6569
Sn 0.8728 0.8728 0.4293
Sn 0.1272 0.1272 0.5707
Ag 0.4576 0.4576 0.7859
Ag 0.5424 0.5424 0.2141
Tb 0.1625 0.1625 0.0885
Tb 0.8375 0.8375 0.9115

SG = C2/m (12)
Magnetic moment = 0.0 μB per formula unit

---

Of them, <one> has the lowest stability.

---

<one>
A relaxed structure of TmAgSnTe3. Source: OQMD, functional PBE.

Cell lengths 7.6397, 7.6397, 11.0666 Å; angles 90.00, 90.00, 32.63 degrees
Fractional coordinates of all 12 atoms:
Te 0.3536 0.3536 0.0525
Te 0.0966 0.0966 0.2500
Te 0.6464 0.6464 0.9475
Te 0.3536 0.3536 0.4475
Te 0.6464 0.6464 0.5525
Te 0.9034 0.9034 0.7500
Tm 0.0000 0.0000 0.0000
Tm 0.0000 0.0000 0.5000
Sn 0.7710 0.7710 0.2500
Sn 0.2290 0.2290 0.7500
Ag 0.5283 0.5283 0.7500
Ag 0.4717 0.4717 0.2500

SG = Cmcm (63)
Magnetic moment = 0.0 μB per formula unit

---

<two>
A relaxed structure of TmAgSnTe3. Source: OQMD, functional PBE.

Cell lengths 12.6002, 4.4404, 12.6085 Å; angles 90.00, 90.00, 90.00 degrees
Fractional coordinates of all 24 atoms:
Te 0.8635 0.5000 0.0239
Te 0.5646 0.5000 0.9113
Te 0.8316 0.0000 0.7721
Te 0.4354 0.0000 0.0887
Te 0.3635 0.0000 0.4761
Te 0.6365 0.5000 0.5239
Te 0.3316 0.5000 0.7279
Te 0.9354 0.5000 0.4113
Te 0.1684 0.5000 0.2279
Te 0.1365 0.0000 0.9761
Te 0.6684 0.0000 0.2721
Te 0.0646 0.0000 0.5887
Tm 0.3140 0.5000 0.9723
Tm 0.8140 0.0000 0.5277
Tm 0.6860 0.0000 0.0277
Tm 0.1860 0.5000 0.4723
Ag 0.8037 0.5000 0.2365
Ag 0.1963 0.0000 0.7635
Ag 0.3037 0.0000 0.2635
Ag 0.6963 0.5000 0.7365
Sn 0.4872 0.5000 0.3154
Sn 0.5128 0.0000 0.6846
Sn 0.9872 0.0000 0.1846
Sn 0.0128 0.5000 0.8154

SG = Pnma (62)
Magnetic moment = 0.0 μB per formula unit

---

Of them, <two> has the lowest stability.